# 1
This record from Alexandria via LeMat-Bulk describes crystalline Th3FeAu at its relaxed geometry. The functional is PBE-GGA.

Properties
Polymorph energy (0 for the lowest one) (eV per atom): 0.079
ρ (g/cm3): 12.1
E_form (eV/atom): -0.21
Calculated volume (Å³ per atom): 26.0

CIF file:
```
data_Th3FeAu
_symmetry_space_group_name_H-M 'P -1'
_symmetry_Int_Tables_number 2
_symmetry_space_group_name_Hall '-P 1'
_cell_length_a 4.381
_cell_length_b 5.083
_cell_length_c 11.739
_cell_angle_alpha 84.59
_cell_angle_beta 89.86
_cell_angle_gamma 89.99
loop_
_atom_site_label
_atom_site_type_symbol
_atom_site_fract_x
_atom_site_fract_y
_atom_site_fract_z
Th1 Th 0.249 0.247 0.249
Th2 Th 0.250 0.241 0.559
Th3 Th 0.250 0.763 0.981
Fe1 Fe 0.250 0.725 0.609
Au1 Au 0.251 0.291 0.818
```


# 2
This record from Alexandria via LeMat-Bulk describes crystalline SrYZr2 at its relaxed geometry. The functional is PBE-GGA.

Properties
Polymorph energy (0 for the lowest one) (eV per atom): 0.221
ρ (g/cm3): 5.2
E_form (eV/atom): 0.45
Calculated volume (Å³ per atom): 28.9

CIF file:
```
data_SrYZr2
_symmetry_space_group_name_H-M 'I 4/m m m'
_symmetry_Int_Tables_number 139
_symmetry_space_group_name_Hall '-I 4 2'
_cell_length_a 4.792
_cell_length_b 4.792
_cell_length_c 10.057
_cell_angle_alpha 90.00
_cell_angle_beta 90.00
_cell_angle_gamma 90.00
loop_
_atom_site_label
_atom_site_type_symbol
_atom_site_fract_x
_atom_site_fract_y
_atom_site_fract_z
Sr1 Sr 0.000 0.000 0.000
Y1 Y 0.000 0.000 0.500
Zr1 Zr 0.000 0.500 0.250
```


# 3
This record from Alexandria via LeMat-Bulk describes crystalline HfScHg2 at its relaxed geometry. The functional is PBE-GGA.

Properties
Polymorph energy (0 for the lowest one) (eV per atom): 0.648
ρ (g/cm3): 10.2
E_form (eV/atom): 0.45
Calculated volume (Å³ per atom): 25.5

CIF file:
```
data_HfScHg2
_symmetry_space_group_name_H-M 'I m m m'
_symmetry_Int_Tables_number 71
_symmetry_space_group_name_Hall '-I 2 2'
_cell_length_a 3.124
_cell_length_b 5.454
_cell_length_c 11.955
_cell_angle_alpha 90.00
_cell_angle_beta 90.00
_cell_angle_gamma 90.00
loop_
_atom_site_label
_atom_site_type_symbol
_atom_site_fract_x
_atom_site_fract_y
_atom_site_fract_z
Hf1 Hf 0.000 0.000 0.000
Sc1 Sc 0.000 0.000 0.500
Hg1 Hg 0.000 0.000 0.246
```


# 4
This record from Alexandria via LeMat-Bulk describes crystalline NaCa2HoCl8 at its relaxed geometry. The functional is PBE-GGA.

Properties
Final energy (Ry per atom): -0.31681
ρ (g/cm3): 2.6
Calculated volume (Å³ per atom): 28.8

CIF file:
```
data_NaCa2HoCl8
_symmetry_space_group_name_H-M 'P 1 2/m 1'
_symmetry_Int_Tables_number 10
_symmetry_space_group_name_Hall '-P 2y'
_cell_length_a 6.379
_cell_length_b 8.380
_cell_length_c 6.475
_cell_angle_alpha 90.00
_cell_angle_beta 90.36
_cell_angle_gamma 90.00
loop_
_atom_site_label
_atom_site_type_symbol
_atom_site_fract_x
_atom_site_fract_y
_atom_site_fract_z
Na1 Na 0.000 0.000 0.000
Ca1 Ca 0.500 0.242 0.500
Ho1 Ho 0.000 0.500 0.000
Cl1 Cl 0.207 0.270 0.815
Cl2 Cl 0.285 0.500 0.307
Cl3 Cl 0.295 0.000 0.315
```


# 5
This record from Alexandria via LeMat-Bulk describes crystalline BaMg2Mo at its relaxed geometry. The functional is PBE-GGA.

Properties
Polymorph energy (0 for the lowest one) (eV per atom): 0.249
ρ (g/cm3): 4.9
E_form (eV/atom): 0.77
Calculated volume (Å³ per atom): 24.0

CIF file:
```
data_BaMg2Mo
_symmetry_space_group_name_H-M 'C m m m'
_symmetry_Int_Tables_number 65
_symmetry_space_group_name_Hall '-C 2 2'
_cell_length_a 6.591
_cell_length_b 9.305
_cell_length_c 3.124
_cell_angle_alpha 90.00
_cell_angle_beta 90.00
_cell_angle_gamma 90.00
loop_
_atom_site_label
_atom_site_type_symbol
_atom_site_fract_x
_atom_site_fract_y
_atom_site_fract_z
Ba1 Ba 0.000 0.000 0.000
Mg1 Mg 0.250 0.250 0.500
Mo1 Mo 0.000 0.500 0.000
```


# 6
This record from Alexandria via LeMat-Bulk describes crystalline TbCuIr at its relaxed geometry. The functional is PBE-GGA.

Properties
Polymorph energy (0 for the lowest one) (eV per atom): 0.074
ρ (g/cm3): 12.3
E_form (eV/atom): -0.50
Calculated volume (Å³ per atom): 18.6

CIF file:
```
data_TbCuIr
_symmetry_space_group_name_H-M 'I 4/m m m'
_symmetry_Int_Tables_number 139
_symmetry_space_group_name_Hall '-I 4 2'
_cell_length_a 3.976
_cell_length_b 3.976
_cell_length_c 14.113
_cell_angle_alpha 90.00
_cell_angle_beta 90.00
_cell_angle_gamma 90.00
loop_
_atom_site_label
_atom_site_type_symbol
_atom_site_fract_x
_atom_site_fract_y
_atom_site_fract_z
Tb1 Tb 0.000 0.000 0.170
Cu1 Cu 0.000 0.500 0.000
Ir1 Ir 0.000 0.000 0.381
```


# 7
This record from Alexandria via LeMat-Bulk describes crystalline KSrAlOs2 at its relaxed geometry. The functional is PBE-GGA.

Properties
ρ (g/cm3): 7.3
E_form (eV/atom): 1.10
Calculated volume (Å³ per atom): 24.3

CIF file:
```
data_KSrAlOs2
_symmetry_space_group_name_H-M 'P 4/m m m'
_symmetry_Int_Tables_number 123
_symmetry_space_group_name_Hall '-P 4 2'
_cell_length_a 4.723
_cell_length_b 4.723
_cell_length_c 5.440
_cell_angle_alpha 90.00
_cell_angle_beta 90.00
_cell_angle_gamma 90.00
loop_
_atom_site_label
_atom_site_type_symbol
_atom_site_fract_x
_atom_site_fract_y
_atom_site_fract_z
K1 K 0.000 0.000 0.000
Sr1 Sr 0.500 0.500 0.000
Al1 Al 0.000 0.000 0.500
Os1 Os 0.000 0.500 0.500
```


# 8
This record from Alexandria via LeMat-Bulk describes crystalline Li2Cu2F5 at its relaxed geometry. The functional is PBE-GGA.

Properties
Polymorph energy (0 for the lowest one) (eV per atom): 0.010
ρ (g/cm3): 3.9
Calculated volume (Å³ per atom): 11.1

CIF file:
```
data_Li2Cu2F5
_symmetry_space_group_name_H-M 'P n a 21'
_symmetry_Int_Tables_number 33
_symmetry_space_group_name_Hall 'P 2c -2n'
_cell_length_a 10.834
_cell_length_b 3.019
_cell_length_c 12.172
_cell_angle_alpha 90.00
_cell_angle_beta 90.00
_cell_angle_gamma 90.00
loop_
_atom_site_label
_atom_site_type_symbol
_atom_site_fract_x
_atom_site_fract_y
_atom_site_fract_z
Li1 Li 0.031 0.218 0.000
Li2 Li 0.220 0.217 0.652
Cu1 Cu 0.003 0.279 0.262
Cu2 Cu 0.246 0.180 0.390
F1 F 0.064 0.280 0.419
F2 F 0.086 0.742 0.624
F3 F 0.124 0.234 0.827
F4 F 0.164 0.707 0.027
F5 F 0.187 0.208 0.232
```


# 9
This record from Alexandria via LeMat-Bulk describes crystalline Co2Sn3S3 at its relaxed geometry. The functional is PBE-GGA.

Properties
Final energy (Ry per atom): -0.38410
ρ (g/cm3): 6.2
Calculated volume (Å³ per atom): 19.2

CIF file:
```
data_Co2Sn3S3
_symmetry_space_group_name_H-M 'R -3'
_symmetry_Int_Tables_number 148
_symmetry_space_group_name_Hall '-R 3'
_cell_length_a 12.0245
_cell_length_b 12.0245
_cell_length_c 14.6865
_cell_angle_alpha 90.00
_cell_angle_beta 90.00
_cell_angle_gamma 120.00
loop_
_atom_site_label
_atom_site_type_symbol
_atom_site_fract_x
_atom_site_fract_y
_atom_site_fract_z
Co1 Co 0.0000 0.0000 0.2360
Co2 Co 0.9996 0.4938 0.7634
Sn1 Sn 0.0109 0.8394 0.3394
Sn2 Sn 0.0612 0.2724 0.9390
S1 S 0.0096 0.8364 0.8342
S2 S 0.0551 0.4485 0.1052
```


# 10
This record from Alexandria via LeMat-Bulk describes crystalline TmThAl2 at its relaxed geometry. The functional is PBE-GGA.

Properties
Polymorph energy (0 for the lowest one) (eV per atom): 0.002
ρ (g/cm3): 7.8
E_form (eV/atom): -0.31
Calculated volume (Å³ per atom): 24.1

CIF file:
```
data_TmThAl2
_symmetry_space_group_name_H-M 'P 4/m m m'
_symmetry_Int_Tables_number 123
_symmetry_space_group_name_Hall '-P 4 2'
_cell_length_a 3.591
_cell_length_b 3.591
_cell_length_c 7.490
_cell_angle_alpha 90.00
_cell_angle_beta 90.00
_cell_angle_gamma 90.00
loop_
_atom_site_label
_atom_site_type_symbol
_atom_site_fract_x
_atom_site_fract_y
_atom_site_fract_z
Tm1 Tm 0.000 0.000 0.000
Th1 Th 0.000 0.000 0.500
Al1 Al 0.500 0.500 0.231
```


# 11
This record from Alexandria via LeMat-Bulk describes crystalline MnAlBr2 at its relaxed geometry. The functional is PBE-GGA.

Properties
Polymorph energy (0 for the lowest one) (eV per atom): 0.221
ρ (g/cm3): 3.7
Calculated volume (Å³ per atom): 27.1

CIF file:
```
data_MnAlBr2
_symmetry_space_group_name_H-M 'R -3 m'
_symmetry_Int_Tables_number 166
_symmetry_space_group_name_Hall '-R 3 2"'
_cell_length_a 3.6646
_cell_length_b 3.6646
_cell_length_c 28.0099
_cell_angle_alpha 90.00
_cell_angle_beta 90.00
_cell_angle_gamma 120.00
loop_
_atom_site_label
_atom_site_type_symbol
_atom_site_fract_x
_atom_site_fract_y
_atom_site_fract_z
Mn1 Mn 0.0000 0.0000 0.0000
Al1 Al 0.0000 0.0000 0.5000
Br1 Br 0.0000 0.0000 0.2752
```


# 12
This record from Alexandria via LeMat-Bulk describes crystalline LiZrP2O at its relaxed geometry. The functional is PBE-GGA.

Properties
Polymorph energy (0 for the lowest one) (eV per atom): 0.370
ρ (g/cm3): 4.1
Calculated volume (Å³ per atom): 14.2

CIF file:
```
data_LiZrP2O
_symmetry_space_group_name_H-M 'P 4/m m m'
_symmetry_Int_Tables_number 123
_symmetry_space_group_name_Hall '-P 4 2'
_cell_length_a 4.483
_cell_length_b 4.483
_cell_length_c 3.534
_cell_angle_alpha 90.00
_cell_angle_beta 90.00
_cell_angle_gamma 90.00
loop_
_atom_site_label
_atom_site_type_symbol
_atom_site_fract_x
_atom_site_fract_y
_atom_site_fract_z
Li1 Li 0.000 0.000 0.000
Zr1 Zr 0.500 0.500 0.500
P1 P 0.000 0.500 0.000
O1 O 0.000 0.000 0.500
```